No. 1
First-principles (PBE-GGA) data for a relaxed structure of GeOs3C, as listed in Alexandria.

Properties
M_tot in μB/cell: 1.69
Mass density in Mg/m³: 11.77
Polymorph energy (0 for the lowest one) in meV/atom: 2491.3
Space-group type: Pm-3m, No. 221

```
GeOs3C
1.0
-2.911 1.827 -2.939
-3.365 -2.389 1.848
-0.806 3.377 2.898
Os Ge C
3 1 1
Direct
0.000 0.500 0.000
0.500 0.000 0.000
0.000 0.000 0.500
0.000 0.000 0.000
0.500 0.500 0.500
```

No. 2
First-principles (PBE-GGA) data for a relaxed structure of GeOs3C, as listed in Alexandria.

Properties
M_tot in μB/cell: 0.00
Mass density in Mg/m³: 16.15
Polymorph energy (0 for the lowest one) in meV/atom: 0.0
Space-group type: Pm-3m, No. 221

```
GeOs3C
1.0
-1.460 1.841 3.322
2.361 -2.348 2.338
2.975 2.767 -0.226
C Os Ge
1 3 1
Direct
0.000 0.000 0.000
0.000 0.500 0.000
0.000 0.000 0.500
0.500 0.000 0.000
0.500 0.500 0.500
```

No. 3
First-principles (PBE-GGA) data for a relaxed structure of GeOs2C, as listed in Alexandria.

Properties
M_tot in μB/cell: 0.00
Mass density in Mg/m³: 12.10
Polymorph energy (0 for the lowest one) in meV/atom: 0.0
Space-group type: I-42d, No. 122

```
GeOs2C
1.0
-4.816 0.349 1.957
0.282 -4.957 1.578
-0.490 -0.891 5.888
Os C Ge
4 2 2
Direct
0.546 0.125 0.250
0.875 0.796 0.750
0.204 0.625 0.250
0.375 0.454 0.750
0.250 0.750 0.500
0.500 0.500 0.000
0.750 0.250 0.500
0.000 0.000 0.000
```

No. 4
First-principles (PBE-GGA) data for a relaxed structure of GeOsC3, as listed in Alexandria.

Properties
M_tot in μB/cell: 0.00
Mass density in Mg/m³: 8.64
Polymorph energy (0 for the lowest one) in meV/atom: 1076.1
Space-group type: Pm-3m, No. 221

```
GeOsC3
1.0
3.859 0.000 0.000
0.000 3.859 0.000
0.000 0.000 3.859
C Os Ge
3 1 1
Direct
0.000 0.500 0.000
0.000 0.000 0.500
0.500 0.000 0.000
0.500 0.500 0.500
0.000 0.000 0.000
```

No. 5
First-principles (PBE-GGA) data for a relaxed structure of GeOsC3, as listed in Alexandria.

Properties
M_tot in μB/cell: 0.00
Mass density in Mg/m³: 7.64
Polymorph energy (0 for the lowest one) in meV/atom: 0.0
Space-group type: Pm-3m, No. 221

```
GeOsC3
1.0
4.019 0.000 0.000
0.000 4.019 0.000
0.000 0.000 4.019
Ge C Os
1 3 1
Direct
0.500 0.500 0.500
0.000 0.000 0.500
0.500 0.000 0.000
0.000 0.500 0.000
0.000 0.000 0.000
```

No. 6
First-principles (PBE-GGA) data for a relaxed structure of GeOs2C, as listed in Alexandria.

Properties
M_tot in μB/cell: 0.00
Mass density in Mg/m³: 15.58
Polymorph energy (0 for the lowest one) in meV/atom: 418.5
Space-group type: Fm-3m, No. 225

```
GeOs2C
1.0
-1.961 -3.206 1.696
-2.914 0.637 2.846
-3.959 -0.710 -0.908
Ge C Os
1 1 2
Direct
0.500 0.500 0.500
0.000 0.000 0.000
0.750 0.750 0.750
0.250 0.250 0.250
```

Number 4 is which compound?
GeOsC3

Which of these has the lowest mass density?
number 5